A geometry-optimized TlAuSe2 structure, computed with PBE.

```
TlAuSe2
1.0
-0.490 3.879 -0.747
-0.476 1.261 -3.746
-7.607 0.921 -0.838
Se Tl Au
2 1 1
Cartesian
-6.205 1.074 -0.965
-1.727 1.561 -1.370
-4.306 3.029 -2.664
-8.229 4.350 -3.835
```

Summary:
- formation energy without anion corrections (eV per atom) = -0.07
- SG = R3m (160)